VASP calculation (PBE+U) on a relaxed GaNiN2O crystal.

The space group is P4/mmm. As for the density of states at the Fermi level: 0.3120 states/eV per atom. Its energy is -4.33 eV/atom.

Lattice parameters (Å, degrees): 3.7062 3.7062 3.8648 90.00 90.00 90.00
Sites, in units of the cell vectors:
Ga: 0.0000 0.0000 0.0000
Ni: 0.5000 0.5000 0.5000
N: 0.0000 0.5000 0.5000
N: 0.5000 0.0000 0.5000
O: 0.5000 0.5000 0.0000